1.
The following is a PBE-GGA calculation of an optimized crystal structure of Tl4TcW, from Alexandria via LeMat-Bulk.

Size of the total moment, μB per formula unit: 5.663
SG: No. 216
Raw total energy, eV for the cell shown: -22.88

Cell and atoms, written as extended XYZ:
```
6
Lattice="0.0000 4.2115 4.2115 4.2115 0.0000 4.2115 4.2115 4.2115 0.0000" Properties=species:S:1:pos:R:3 pbc="T T T"
Tc 0.0000 0.0000 0.0000
Tl 3.1583 5.2647 5.2647
Tl 5.2647 5.2647 3.1583
Tl 5.2647 3.1583 5.2647
Tl 3.1583 3.1583 3.1583
W 6.3173 6.3173 6.3173
```


2.
The following is a PBE-GGA calculation of an optimized crystal structure of BaAgO3, from Alexandria via LeMat-Bulk.

Size of the total moment, μB per formula unit: 1.000
SG: No. 194
Raw total energy, eV for the cell shown: -47.93

Cell and atoms, written as extended XYZ:
```
10
Lattice="-2.4245 2.7241 -1.8823 1.1556 -3.4161 -1.9586 -10.0737 -5.9281 4.3958" Properties=species:S:1:pos:R:3 pbc="T T T"
Ag -3.7495 -0.8047 -0.8088
O -2.5184 -1.4820 1.0990
O -9.1706 -6.7439 2.0521
O -2.1719 0.1237 -1.4972
O -5.3271 -1.7331 -0.1204
Ba 0.0000 0.0000 0.0000
O -6.0153 -4.8871 0.6752
Ba -5.0368 -2.9641 2.1979
Ag -7.5930 -5.8155 1.3637
O -7.5552 -4.4461 3.2969
```


3.
The following is a PBE-GGA calculation of an optimized crystal structure of Ni5Sn12Hg3, from Alexandria via LeMat-Bulk.

Size of the total moment, μB per formula unit: 0.000
SG: No. 230
Raw total energy, eV for the cell shown: -305.23

Cell and atoms, written as extended XYZ:
```
80
Lattice="-3.7381 -12.7543 -3.8288 5.2553 6.7265 -10.8831 9.5451 -0.7932 9.9783" Properties=species:S:1:pos:R:3 pbc="T T T"
Ni 6.2053 -9.4190 4.4991
Ni 4.8570 2.5980 -9.2326
Ni 4.0604 -5.6591 -5.9316
Sn 2.4734 -0.3195 -0.3548
Hg 11.2899 3.6965 -2.5175
Sn 11.0485 -1.4474 -1.4799
Hg 1.8637 -6.2143 -10.2652
Ni 7.0536 3.1532 -4.8990
Hg -0.2277 -10.5175 -2.2160
Sn 8.3414 4.5460 -6.4591
Sn 3.1521 -3.2564 -1.5530
Sn 7.6636 0.4623 -0.5213
Sn 3.3987 -7.2833 -4.2122
Ni 0.7586 -3.0139 -7.3559
Sn 6.7443 0.9755 -5.9919
Hg 0.3603 -7.1424 -5.7054
Ni 7.0019 -1.1619 1.1981
Sn 5.8248 -6.7269 -7.2654
Sn 8.5888 -6.5015 -4.3787
Sn 2.0186 -4.2370 -13.0126
Sn 5.6267 -0.9082 -2.6413
Sn 5.7400 -11.8235 4.3141
Ni 2.9035 -6.7738 3.0748
Ni -1.8691 -6.3772 -1.9144
Sn 6.5929 -2.1308 5.1466
Sn 4.4694 -4.6902 -9.8801
Sn 9.3060 -4.4402 0.3976
Sn 0.0138 -5.3736 -3.2536
Sn 8.5820 -5.2414 3.7733
Sn 2.4803 -1.5796 -8.5068
Sn 1.7563 -2.3808 -5.1311
Sn 2.7438 -9.9227 -1.9392
Sn 9.9901 1.9438 3.4461
Sn 7.2180 -8.7330 2.3693
Sn 7.9102 -3.5646 -3.1805
Ni 5.5311 -3.4105 -2.3668
Sn 8.6598 -8.1971 -0.8237
Sn 1.0722 -8.7648 -8.1796
Ni 7.4002 2.9667 -0.4524
Sn 9.0436 -2.5840 8.2790
Sn 1.3183 -9.9832 -5.1835
Sn 5.3223 5.0025 -9.0476
Ni 4.0087 -9.9742 0.1655
Hg 7.7605 -4.1758 -6.1578
Sn 8.3184 3.1017 -2.7943
Sn 6.5667 -1.9966 -7.9146
Hg 9.1985 -0.6067 5.5317
Hg 6.7932 -6.0439 1.0096
Sn 9.7440 3.1622 0.4500
Sn 8.7756 -1.8098 2.7687
Sn 4.7313 -3.6150 -4.7467
Ni 6.4139 -4.5370 4.6876
Hg 4.2690 -0.7771 -5.7431
Hg 2.5569 -6.5873 -1.3719
Sn 9.4905 -1.2643 -6.0501
Ni 9.9571 -3.6206 -1.8242
Sn -0.1784 -7.5963 -0.4997
Sn 4.4956 -4.8244 3.1811
Sn 12.9795 1.5144 -1.2352
Ni 2.6276 3.3633 -5.4415
Hg 3.3018 -2.6452 1.4243
Sn 6.3310 -3.2060 0.0132
Hg 8.5054 -0.2337 -3.3616
Ni 4.6483 -2.2840 -9.4211
Sn 1.5718 -5.5567 1.3166
Hg 10.7020 0.3214 0.9719
Sn -1.9172 -8.3354 -3.4983
Sn 11.2406 0.7753 -4.2338
Sn 5.2374 -0.0941 2.5319
Ni 7.1725 -7.5509 -2.6683
Sn 5.4356 -5.9128 -2.0922
Ni 3.8897 0.7299 -2.0652
Ni 0.0000 0.0000 0.0000
Sn 3.8442 1.9120 -7.1028
Sn 2.7209 -11.3670 1.7256
Sn 2.4024 1.3761 -3.9098
Ni 1.1052 -3.2004 -2.9093
Sn 4.3179 -7.7965 1.2584
Sn 2.2867 -5.0112 -7.5022
Ni 4.7726 -0.3966 4.9892
```


4.
The following is a PBE-GGA calculation of an optimized crystal structure of Sr2NiSb3Rh4, from Alexandria via LeMat-Bulk.

Size of the total moment, μB per formula unit: 0.762
SG: No. 115
Raw total energy, eV for the cell shown: -56.83

Cell and atoms, written as extended XYZ:
```
10
Lattice="4.4238 0.0000 0.0000 0.0000 4.4238 0.0000 0.0000 0.0000 10.8541" Properties=species:S:1:pos:R:3 pbc="T T T"
Ni 2.2119 2.2119 5.4271
Rh 0.0000 0.0000 0.0000
Rh 0.0000 2.2119 4.0877
Sb 0.0000 2.2119 1.4680
Rh 2.2119 0.0000 6.7664
Sb 0.0000 0.0000 5.4271
Rh 2.2119 2.2119 0.0000
Sb 2.2119 0.0000 9.3861
Sr 0.0000 2.2119 8.0296
Sr 2.2119 0.0000 2.8245
```


5.
The following is a PBE-GGA calculation of an optimized crystal structure of TbCePrSe3, from Alexandria via LeMat-Bulk.

Size of the total moment, μB per formula unit: 1.987
SG: No. 11
Raw total energy, eV for the cell shown: -70.78

Cell and atoms, written as extended XYZ:
```
12
Lattice="-0.7119 -1.6929 -3.6874 7.3853 -3.3581 0.1160 -5.9622 -7.3128 4.5084" Properties=species:S:1:pos:R:3 pbc="T T T"
Se 5.5217 -5.1081 -2.1723
Se 1.8066 -4.2045 -1.8700
Tb 4.1439 -3.3598 -0.4080
Se -4.8105 -7.2557 3.1094
Se -1.0954 -8.1594 2.8070
Ce 3.2696 -6.8361 -0.9442
Se 2.2532 -7.2875 1.7603
Tb -3.4327 -9.0040 1.3450
Pr 0.7522 -9.8324 0.9174
Ce -2.5584 -5.5278 1.8813
Pr -0.0410 -2.5315 0.0196
Se -1.5420 -5.0764 -0.8232
```


6.
The following is a PBE-GGA calculation of an optimized crystal structure of NdYInAg, from Alexandria via LeMat-Bulk.

Size of the total moment, μB per formula unit: 0.178
SG: No. 216
Raw total energy, eV for the cell shown: -18.40

Cell and atoms, written as extended XYZ:
```
4
Lattice="5.3460 0.0000 0.0000 2.6730 4.6298 0.0000 2.6730 1.5433 4.3650" Properties=species:S:1:pos:R:3 pbc="T T T"
Y 0.0000 0.0000 0.0000
Nd 5.3460 3.0865 2.1825
In 2.6730 1.5433 1.0912
Ag 8.0190 4.6298 3.2737
```


7.
The following is a PBE-GGA calculation of an optimized crystal structure of BPtRh2, from Alexandria via LeMat-Bulk.

Size of the total moment, μB per formula unit: 0.000
SG: No. 123
Raw total energy, eV for the cell shown: -27.99

Cell and atoms, written as extended XYZ:
```
4
Lattice="2.7085 0.0000 0.0000 0.0000 2.7085 0.0000 0.0000 0.0000 6.7923" Properties=species:S:1:pos:R:3 pbc="T T T"
Rh 0.0000 0.0000 5.4948
B 1.3542 1.3542 0.0000
Rh 0.0000 0.0000 1.2975
Pt 1.3542 1.3542 3.3961
```


8.
The following is a PBE-GGA calculation of an optimized crystal structure of Nd3V5Se12, from Alexandria via LeMat-Bulk.

Size of the total moment, μB per formula unit: 10.005
SG: No. 230
Raw total energy, eV for the cell shown: -488.84

Cell and atoms, written as extended XYZ:
```
80
Lattice="-5.3425 9.2094 -8.7257 -9.9639 -4.9698 8.0941 9.6146 6.0704 7.7591" Properties=species:S:1:pos:R:3 pbc="T T T"
Se -1.8361 10.7230 4.1336
V -4.9819 -2.4849 4.0471
Se 0.6159 5.5873 -0.8657
Nd 0.1354 8.4450 3.4011
Se -0.4209 8.2836 6.4503
Se 2.2354 5.6406 7.1349
Se -0.0237 8.8046 0.3223
V -9.6538 2.9249 3.5686
Nd -3.5165 8.9546 -4.6834
Se -1.9399 5.7646 9.1454
Se 4.9488 5.4975 4.6458
V -7.6532 2.1198 -0.3158
Nd 1.0244 3.9575 1.7400
Se 3.6557 3.1995 9.4467
Nd -2.2245 6.7898 -0.5204
Se -6.3076 4.7226 7.9932
V 3.1604 11.5974 1.2567
Se 7.4957 7.1060 6.7064
Se -2.6635 7.4883 2.4717
Se -7.9272 4.6693 -0.0074
Se -4.1058 3.5044 10.6852
Se -3.7519 4.5454 -2.0179
Se -5.2709 2.0264 0.6773
Se -5.6680 1.5054 6.8052
Se -1.5859 6.8056 -3.5576
V -0.1746 0.5503 7.9266
Se -7.9668 7.5073 2.7963
Se 2.2751 2.8026 4.3313
Nd -10.9457 5.0897 -0.5945
Se -3.8557 -0.4130 2.9940
V -3.2926 2.9699 -0.2787
Se -5.2646 7.2780 -0.1298
Se -5.3565 4.8546 3.0379
Se -5.4184 9.1204 4.8515
Se -13.1875 3.2039 0.4211
Se -9.3474 7.1104 -2.3192
Se -1.0106 4.2146 12.1295
Nd 0.8497 4.5078 9.6666
Nd -3.4672 3.5201 7.6479
V -2.0006 0.8051 3.8844
V -2.6712 4.6047 -4.3628
Se 2.7356 8.7917 5.0539
Se -3.6631 6.0379 5.8491
Se -2.0287 4.2721 1.2784
Nd 5.2540 5.2203 7.7220
Se 2.3058 6.7769 1.9450
V -1.1565 10.6098 -0.7620
Se 2.7304 13.2951 -0.3714
Se -4.6811 6.0954 -5.0020
Se -7.9975 3.5330 5.1825
Se -8.4222 -2.9851 7.4989
Se -3.0939 9.5373 -1.6643
Se -7.0134 -0.9264 4.3855
V -8.8522 -1.2875 5.8708
V -2.8459 5.1550 3.5638
V 3.9620 7.3851 3.5590
V 2.1361 7.6399 -0.4833
V -6.6288 6.0773 1.4242
V -3.6911 9.5049 3.2432
Se -0.3352 5.4554 4.0896
Se -6.1876 8.8316 -3.1141
V 4.8073 3.0352 3.8795
V 0.0000 0.0000 0.0000
V -4.5352 -0.2998 7.8895
Nd -2.1753 1.3553 11.8110
Se -3.0283 2.8216 4.6558
V 0.9370 4.2326 5.7033
Se 0.4959 1.4784 10.2416
Nd -5.8272 1.8650 3.7265
Nd -6.5415 5.8022 -2.5391
Se -0.2734 1.1895 2.2761
Se -0.4271 3.0319 7.2574
V -2.3992 7.3401 7.4062
Se -10.6405 4.8124 2.4817
Se -5.8701 -1.3783 9.5547
Se 0.1784 11.6883 -2.4271
Se -2.5979 0.7727 8.7918
Se -8.4273 1.5183 2.0736
Se 1.3216 11.2364 2.7420
Nd -6.7161 6.3524 5.3875
```


9.
The following is a PBE-GGA calculation of an optimized crystal structure of CaCr2Mo, from Alexandria via LeMat-Bulk.

Size of the total moment, μB per formula unit: 4.152
SG: No. 166
Raw total energy, eV for the cell shown: -28.81

Cell and atoms, written as extended XYZ:
```
4
Lattice="9.0881 0.0085 0.0050 8.5640 3.0416 0.0050 8.5640 1.4798 2.6574" Properties=species:S:1:pos:R:3 pbc="T T T"
Ca 19.6620 3.3974 2.0005
Cr 25.8205 4.4615 2.6271
Cr 13.5035 2.3333 1.3739
Mo 6.5540 1.1325 0.6668
```


10.
The following is a PBE-GGA calculation of an optimized crystal structure of LaPm6Pr2Er, from Alexandria via LeMat-Bulk.

Size of the total moment, μB per formula unit: 0.000
SG: No. 15
Raw total energy, eV for the cell shown: -92.76

Cell and atoms, written as extended XYZ:
```
20
Lattice="9.4414 -2.2564 -2.3416 0.7711 8.7114 -2.0900 0.7711 -2.4114 8.6279" Properties=species:S:1:pos:R:3 pbc="T T T"
Pm 4.1853 2.7903 0.5887
Pm 9.7810 4.9275 -1.9003
Er 7.8521 -3.8861 6.6620
La 7.8521 2.5220 0.4871
Pm 5.9231 4.9969 -1.8283
Pm 6.9335 -2.7085 3.3400
Pr 5.5051 4.3312 3.3609
Pm 6.7982 1.2532 3.6076
Pm 1.2025 -0.8840 6.0966
Pr 10.2258 2.0699 3.2820
Er 3.1314 7.9296 -2.4657
Pm 2.0775 4.6869 2.5568
Pm 8.9060 -0.6433 1.6394
Pm 5.0604 -0.9534 6.0246
La 3.1314 1.5215 3.7092
Pm 4.0500 6.7520 0.8563
Pm 2.2128 4.5663 -1.4120
Pm 8.7707 -0.5227 5.6083
Pr 5.4784 -0.2877 0.8353
Pr 0.7577 1.9736 0.9143
```


11.
The following is a PBE-GGA calculation of an optimized crystal structure of Mg6AlV, from Alexandria via LeMat-Bulk.

Size of the total moment, μB per formula unit: 2.967
SG: No. 38
Raw total energy, eV for the cell shown: -21.35

Cell and atoms, written as extended XYZ:
```
8
Lattice="-0.0491 4.7886 -3.9468 -0.9613 -5.8305 -1.8950 -4.9401 0.5698 0.7528" Properties=species:S:1:pos:R:3 pbc="T T T"
Al -2.6721 3.2934 -3.2264
Mg -0.3479 1.3107 -3.2748
Mg -0.8028 -3.9854 -2.2515
Mg -0.3345 -1.1608 -1.3166
V -3.1311 -2.0500 -2.1940
Mg -2.6485 0.8791 -1.2440
Mg -0.8297 -1.6714 -4.1793
Mg -3.1554 0.3563 -4.1749
```


12.
The following is a PBE-GGA calculation of an optimized crystal structure of MgCoCu2, from Alexandria via LeMat-Bulk.

Size of the total moment, μB per formula unit: 0.090
SG: No. 216
Raw total energy, eV for the cell shown: -16.38

Cell and atoms, written as extended XYZ:
```
4
Lattice="4.1631 0.0000 0.0000 2.0816 3.6054 0.0000 2.0816 1.2018 3.3992" Properties=species:S:1:pos:R:3 pbc="T T T"
Co 4.1631 2.4036 1.6996
Cu 0.0000 0.0000 0.0000
Cu 2.0816 1.2018 0.8498
Mg 6.2447 3.6054 2.5494
```


Which formula does entry 8 have? Nd3V5Se12


Number 3 is which compound? Ni5Sn12Hg3


The highest raw total energy belongs to which entry? MgCoCu2


Please write out number 8 again, unchanged.
The following is a PBE-GGA calculation of an optimized crystal structure of Nd3V5Se12, from Alexandria via LeMat-Bulk.

Size of the total moment, μB per formula unit: 10.005
SG: No. 230
Raw total energy, eV for the cell shown: -488.84

Cell and atoms, written as extended XYZ:
```
80
Lattice="-5.3425 9.2094 -8.7257 -9.9639 -4.9698 8.0941 9.6146 6.0704 7.7591" Properties=species:S:1:pos:R:3 pbc="T T T"
Se -1.8361 10.7230 4.1336
V -4.9819 -2.4849 4.0471
Se 0.6159 5.5873 -0.8657
Nd 0.1354 8.4450 3.4011
Se -0.4209 8.2836 6.4503
Se 2.2354 5.6406 7.1349
Se -0.0237 8.8046 0.3223
V -9.6538 2.9249 3.5686
Nd -3.5165 8.9546 -4.6834
Se -1.9399 5.7646 9.1454
Se 4.9488 5.4975 4.6458
V -7.6532 2.1198 -0.3158
Nd 1.0244 3.9575 1.7400
Se 3.6557 3.1995 9.4467
Nd -2.2245 6.7898 -0.5204
Se -6.3076 4.7226 7.9932
V 3.1604 11.5974 1.2567
Se 7.4957 7.1060 6.7064
Se -2.6635 7.4883 2.4717
Se -7.9272 4.6693 -0.0074
Se -4.1058 3.5044 10.6852
Se -3.7519 4.5454 -2.0179
Se -5.2709 2.0264 0.6773
Se -5.6680 1.5054 6.8052
Se -1.5859 6.8056 -3.5576
V -0.1746 0.5503 7.9266
Se -7.9668 7.5073 2.7963
Se 2.2751 2.8026 4.3313
Nd -10.9457 5.0897 -0.5945
Se -3.8557 -0.4130 2.9940
V -3.2926 2.9699 -0.2787
Se -5.2646 7.2780 -0.1298
Se -5.3565 4.8546 3.0379
Se -5.4184 9.1204 4.8515
Se -13.1875 3.2039 0.4211
Se -9.3474 7.1104 -2.3192
Se -1.0106 4.2146 12.1295
Nd 0.8497 4.5078 9.6666
Nd -3.4672 3.5201 7.6479
V -2.0006 0.8051 3.8844
V -2.6712 4.6047 -4.3628
Se 2.7356 8.7917 5.0539
Se -3.6631 6.0379 5.8491
Se -2.0287 4.2721 1.2784
Nd 5.2540 5.2203 7.7220
Se 2.3058 6.7769 1.9450
V -1.1565 10.6098 -0.7620
Se 2.7304 13.2951 -0.3714
Se -4.6811 6.0954 -5.0020
Se -7.9975 3.5330 5.1825
Se -8.4222 -2.9851 7.4989
Se -3.0939 9.5373 -1.6643
Se -7.0134 -0.9264 4.3855
V -8.8522 -1.2875 5.8708
V -2.8459 5.1550 3.5638
V 3.9620 7.3851 3.5590
V 2.1361 7.6399 -0.4833
V -6.6288 6.0773 1.4242
V -3.6911 9.5049 3.2432
Se -0.3352 5.4554 4.0896
Se -6.1876 8.8316 -3.1141
V 4.8073 3.0352 3.8795
V 0.0000 0.0000 0.0000
V -4.5352 -0.2998 7.8895
Nd -2.1753 1.3553 11.8110
Se -3.0283 2.8216 4.6558
V 0.9370 4.2326 5.7033
Se 0.4959 1.4784 10.2416
Nd -5.8272 1.8650 3.7265
Nd -6.5415 5.8022 -2.5391
Se -0.2734 1.1895 2.2761
Se -0.4271 3.0319 7.2574
V -2.3992 7.3401 7.4062
Se -10.6405 4.8124 2.4817
Se -5.8701 -1.3783 9.5547
Se 0.1784 11.6883 -2.4271
Se -2.5979 0.7727 8.7918
Se -8.4273 1.5183 2.0736
Se 1.3216 11.2364 2.7420
Nd -6.7161 6.3524 5.3875
```